This record from Alexandria via LeMat-Bulk describes K3SnC after structural relaxation. The functional is PBE.

abc: 5.751 5.751 5.751
angles: 90.00 90.00 90.00
Positions (direct):
C 0.000 0.000 0.000
K 0.000 0.500 0.000
K 0.000 0.000 0.500
K 0.500 0.000 0.000
Sn 0.500 0.500 0.500

Values from the calculation:
Final energy ... -2.20 eV per atom
Polymorph energy (0 for the lowest one) ... 0.000 eV per atom
Space-group type ... Pm-3m, No. 221
Formation energy from the elements ... 533 kJ/mol of formula units